1.
An optimized crystal structure of CdNiAg2. Source: Alexandria via LeMat-Bulk, functional PBE.

The space group is Immm (No. 71) and the conventional cell measures 3.004, 4.694 and 9.594 Å, with angles of 90.00, 90.00 and 90.00 degrees. The asymmetric unit holds Cd at (0.000, 0.000, 0.000), Ni at (0.000, 0.000, 0.500) and Ag at (0.000, 0.500, 0.230).

The total magnetic moment comes out at 0.000 μB per cell. The formation energy comes out at 0.111 eV/atom.


2.
An optimized crystal structure of CdNi2Ag. Source: Alexandria via LeMat-Bulk, functional PBE.

The space group is Imm2 (No. 44) and the conventional cell measures 2.925, 4.501 and 9.052 Å, with angles of 90.00, 90.00 and 90.00 degrees. The asymmetric unit holds Cd at (0.000, 0.000, 0.000), Ni at (0.000, 0.000, 0.468), Ni at (0.000, 0.500, 0.756) and Ag at (0.000, 0.500, 0.224).

The total magnetic moment comes out at 0.624 μB per cell. The formation energy comes out at 0.167 eV/atom.


3.
An optimized crystal structure of CdNi2Ag. Source: Alexandria via LeMat-Bulk, functional PBE.

The space group is Pmmm (No. 47) and the conventional cell measures 2.982, 3.362 and 5.899 Å, with angles of 90.00, 90.00 and 90.00 degrees. The asymmetric unit holds Cd at (0.000, 0.000, 0.000), Ni at (0.500, 0.500, 0.255) and Ag at (0.000, 0.000, 0.500).

The total magnetic moment comes out at 0.000 μB per cell. The formation energy comes out at 0.176 eV/atom.


4.
An optimized crystal structure of CdNi2Ag. Source: Alexandria via LeMat-Bulk, functional PBE.

The space group is P4/mmm (No. 123) and the conventional cell measures 4.122, 4.122 and 3.478 Å, with angles of 90.00, 90.00 and 90.00 degrees. The asymmetric unit holds Cd at (0.000, 0.000, 0.000), Ni at (0.000, 0.500, 0.500) and Ag at (0.500, 0.500, 0.000).

The total magnetic moment comes out at 0.000 μB per cell. The formation energy comes out at 0.168 eV/atom.


5.
An optimized crystal structure of CdNiAg2. Source: Alexandria via LeMat-Bulk, functional PBE.

The space group is Cm (No. 8) and the conventional cell measures 9.580, 2.968 and 4.891 Å, with angles of 90.00, 104.48 and 90.00 degrees. The asymmetric unit holds Cd at (0.000, 0.000, 0.000), Ni at (0.261, 0.000, 0.772), Ag at (0.026, 0.500, 0.524) and Ag at (0.264, 0.500, 0.277).

The total magnetic moment comes out at 0.000 μB per cell. The formation energy comes out at 0.124 eV/atom.


6.
An optimized crystal structure of CdNiAg3. Source: Alexandria via LeMat-Bulk, functional PBE.

The space group is Pm-3m (No. 221) and the conventional cell measures 5.108, 5.108 and 5.108 Å, with angles of 90.00, 90.00 and 90.00 degrees. The asymmetric unit holds Cd at (0.000, 0.000, 0.000), Ni at (0.500, 0.500, 0.500) and Ag at (0.000, 0.000, 0.500).

The total magnetic moment comes out at 0.494 μB per cell. The formation energy comes out at 1.163 eV/atom.


7.
An optimized crystal structure of CdNiAg2. Source: Alexandria via LeMat-Bulk, functional PBE.

The space group is C2/m (No. 12) and the conventional cell measures 9.722, 2.950 and 4.824 Å, with angles of 90.00, 103.95 and 90.00 degrees. The asymmetric unit holds Cd at (0.000, 0.000, 0.000), Ni at (0.000, 0.500, 0.500) and Ag at (0.236, 0.000, 0.737).

The total magnetic moment comes out at 0.000 μB per cell. The formation energy comes out at 0.102 eV/atom.


8.
An optimized crystal structure of CdNiAg2. Source: Alexandria via LeMat-Bulk, functional PBE.

The space group is P4/mmm (No. 123) and the conventional cell measures 3.053, 3.053 and 7.217 Å, with angles of 90.00, 90.00 and 90.00 degrees. The asymmetric unit holds Cd at (0.000, 0.000, 0.000), Ni at (0.000, 0.000, 0.500) and Ag at (0.500, 0.500, 0.281).

The total magnetic moment comes out at 0.000 μB per cell. The formation energy comes out at 0.135 eV/atom.


9.
An optimized crystal structure of Cd5NiAg. Source: Alexandria via LeMat-Bulk, functional PBE.

The space group is P4/mmm (No. 123) and the conventional cell measures 4.498, 4.498 and 7.041 Å, with angles of 90.00, 90.00 and 90.00 degrees. The asymmetric unit holds Cd at (0.000, 0.000, 0.000), Cd at (0.000, 0.500, 0.291), Ni at (0.000, 0.000, 0.500) and Ag at (0.500, 0.500, 0.000).

The total magnetic moment comes out at 0.000 μB per cell. The formation energy comes out at 0.013 eV/atom.


10.
An optimized crystal structure of CdNi2Ag. Source: Alexandria via LeMat-Bulk, functional PBE.

The space group is R-3m (No. 166, hexagonal axes) and the conventional cell measures 2.8116, 2.8116 and 26.2260 Å, with angles of 90.00, 90.00 and 120.00 degrees. The asymmetric unit holds Cd at (0.0000, 0.0000, 0.0000), Ni at (0.0000, 0.0000, 0.2498) and Ag at (0.0000, 0.0000, 0.5000).

The total magnetic moment comes out at 0.001 μB per cell. The formation energy comes out at 0.250 eV/atom.


11.
An optimized crystal structure of CdNiAg2. Source: Alexandria via LeMat-Bulk, functional PBE.

The space group is F-43m (No. 216) and the conventional cell measures 6.457, 6.457 and 6.457 Å, with angles of 90.00, 90.00 and 90.00 degrees. The asymmetric unit holds Cd at (0.000, 0.000, 0.000), Ni at (0.250, 0.250, 0.250), Ag at (0.000, 0.000, 0.500) and Ag at (0.250, 0.250, 0.750).

The total magnetic moment comes out at 0.001 μB per cell. The formation energy comes out at 0.131 eV/atom.


12.
An optimized crystal structure of CdNi2Ag. Source: Alexandria via LeMat-Bulk, functional PBE.

The space group is C2/m (No. 12) and the conventional cell measures 8.967, 2.819 and 4.820 Å, with angles of 90.00, 101.03 and 90.00 degrees. The asymmetric unit holds Cd at (0.000, 0.000, 0.000), Ni at (0.250, 0.000, 0.744) and Ag at (0.000, 0.500, 0.500).

The total magnetic moment comes out at 0.597 μB per cell. The formation energy comes out at 0.221 eV/atom.


13.
An optimized crystal structure of CdNiAg2. Source: Alexandria via LeMat-Bulk, functional PBE.

The space group is Pmmm (No. 47) and the conventional cell measures 2.925, 3.841 and 5.992 Å, with angles of 90.00, 90.00 and 90.00 degrees. The asymmetric unit holds Cd at (0.000, 0.000, 0.000), Ni at (0.000, 0.000, 0.500) and Ag at (0.500, 0.500, 0.271).

The total magnetic moment comes out at 0.000 μB per cell. The formation energy comes out at 0.139 eV/atom.


14.
An optimized crystal structure of CdNi2Ag. Source: Alexandria via LeMat-Bulk, functional PBE.

The space group is I-4m2 (No. 119) and the conventional cell measures 3.900, 3.900 and 7.794 Å, with angles of 90.00, 90.00 and 90.00 degrees. The asymmetric unit holds Cd at (0.000, 0.000, 0.000), Ni at (0.000, 0.000, 0.500), Ni at (0.000, 0.500, 0.750) and Ag at (0.000, 0.500, 0.250).

The total magnetic moment comes out at 0.002 μB per cell. The formation energy comes out at 0.180 eV/atom.


15.
An optimized crystal structure of CdNiAg2. Source: Alexandria via LeMat-Bulk, functional PBE.

The space group is I4/mmm (No. 139) and the conventional cell measures 4.037, 4.037 and 8.216 Å, with angles of 90.00, 90.00 and 90.00 degrees. The asymmetric unit holds Cd at (0.000, 0.000, 0.000), Ni at (0.000, 0.000, 0.500) and Ag at (0.000, 0.500, 0.250).

The total magnetic moment comes out at 0.000 μB per cell. The formation energy comes out at 0.110 eV/atom.


16.
An optimized crystal structure of CdNiAg2. Source: Alexandria via LeMat-Bulk, functional PBE.

The space group is R-3m (No. 166, hexagonal axes) and the conventional cell measures 2.8958, 2.8958 and 28.0807 Å, with angles of 90.00, 90.00 and 120.00 degrees. The asymmetric unit holds Cd at (0.0000, 0.0000, 0.0000), Ni at (0.0000, 0.0000, 0.5000) and Ag at (0.0000, 0.0000, 0.2422).

The total magnetic moment comes out at 0.001 μB per cell. The formation energy comes out at 0.150 eV/atom.


17.
An optimized crystal structure of CdNi4Ag. Source: Alexandria via LeMat-Bulk, functional PBE.

The space group is F-43m (No. 216) and the conventional cell measures 6.865, 6.865 and 6.865 Å, with angles of 90.00, 90.00 and 90.00 degrees. The asymmetric unit holds Cd at (0.000, 0.000, 0.000), Ni at (0.125, 0.125, 0.375) and Ag at (0.250, 0.250, 0.750).

The total magnetic moment comes out at 3.947 μB per cell. The formation energy comes out at 0.083 eV/atom.


18.
An optimized crystal structure of CdNiAg3. Source: Alexandria via LeMat-Bulk, functional PBE.

The space group is Pm-3m (No. 221) and the conventional cell measures 4.805, 4.805 and 4.805 Å, with angles of 90.00, 90.00 and 90.00 degrees. The asymmetric unit holds Cd at (0.000, 0.000, 0.000), Ni at (0.500, 0.500, 0.500) and Ag at (0.000, 0.500, 0.500).

The total magnetic moment comes out at 0.000 μB per cell. The formation energy comes out at 0.627 eV/atom.


19.
An optimized crystal structure of CdNi2Ag. Source: Alexandria via LeMat-Bulk, functional PBE.

The space group is F-43m (No. 216) and the conventional cell measures 6.205, 6.205 and 6.205 Å, with angles of 90.00, 90.00 and 90.00 degrees. The asymmetric unit holds Cd at (0.000, 0.000, 0.000), Ni at (0.000, 0.000, 0.500), Ni at (0.250, 0.250, 0.250) and Ag at (0.250, 0.250, 0.750).

The total magnetic moment comes out at 0.342 μB per cell. The formation energy comes out at 0.222 eV/atom.


20.
An optimized crystal structure of Cd5NiAg. Source: Alexandria via LeMat-Bulk, functional PBE.

The space group is C2/c (No. 15) and the conventional cell measures 7.652, 6.403 and 11.485 Å, with angles of 90.00, 90.19 and 90.00 degrees. The asymmetric unit holds Cd at (0.000, 0.052, 0.250), Cd at (0.209, 0.346, 0.107), Cd at (0.211, 0.345, 0.393), Ni at (0.000, 0.000, 0.000) and Ag at (0.000, 0.379, 0.750).

The total magnetic moment comes out at 0.000 μB per cell. The formation energy comes out at 0.053 eV/atom.